Entry 1:
# SrLi3Sb

A relaxed SrLi3Sb crystal (PBE, the Alexandria database).

Cell lengths 8.046, 7.646, 9.378 Å; angles 90.00, 110.27, 90.00 degrees
Atoms (fractional coordinates):
Sr  0.203  0.013  0.247
Sr  0.203  0.487  0.747
Sr  0.797  0.513  0.253
Sr  0.797  0.987  0.753
Li  0.068  0.665  0.021
Li  0.068  0.835  0.521
Li  0.338  0.529  0.348
Li  0.338  0.971  0.848
Li  0.390  0.149  0.597
Li  0.390  0.351  0.097
Li  0.610  0.649  0.903
Li  0.610  0.851  0.403
Li  0.662  0.029  0.152
Li  0.662  0.471  0.652
Li  0.932  0.165  0.479
Li  0.932  0.335  0.979
Sb  0.417  0.732  0.099
Sb  0.417  0.768  0.599
Sb  0.583  0.232  0.401
Sb  0.583  0.268  0.901

Results
Its mass density is 2.8 g cm⁻³. The calculation puts the energy relative to the elements, uncorrected at -42 kJ/mol of atoms. As for the space group: P2_1/c, No. 14. The crystal system is monoclinic. The calculation puts the total magnetization at 0.000 μB per atom. The value obtained for the energy above the most stable polymorph in this dataset is 0.0 meV/atom.

---

Entry 2:
# Sr2Li3TbSb4

A relaxed Sr2Li3TbSb4 crystal (PBE, the Alexandria database).

Cell lengths 4.826, 4.826, 11.858 Å; angles 90.00, 90.00, 90.00 degrees
Atoms (fractional coordinates):
Sr  0.000  0.500  0.218
Sr  0.500  0.000  0.782
Li  0.000  0.500  0.881
Li  0.500  0.000  0.119
Li  0.500  0.500  0.500
Tb  0.000  0.000  0.500
Sb  0.000  0.000  0.000
Sb  0.000  0.500  0.652
Sb  0.500  0.000  0.348
Sb  0.500  0.500  0.000

Results
Its mass density is 5.1 g cm⁻³. The calculation puts the energy relative to the elements, uncorrected at -76 kJ/mol of atoms. As for the space group: P-4m2, No. 115. The crystal system is tetragonal. The calculation puts the total magnetization at 0.000 μB per atom.

---

Entry 3:
# SrLiSbTe2

A relaxed SrLiSbTe2 crystal (PBE, the Alexandria database).

Cell lengths 6.179, 6.179, 6.082 Å; angles 90.00, 90.00, 90.00 degrees
Atoms (fractional coordinates):
Sr  0.000  0.000  0.000
Li  0.500  0.500  0.500
Sb  0.000  0.000  0.500
Te  0.000  0.500  0.000
Te  0.500  0.000  0.000

Results
Its mass density is 3.4 g cm⁻³. The calculation puts the energy relative to the elements, uncorrected at 10 kJ/mol of atoms. As for the space group: P4/mmm, No. 123. The crystal system is tetragonal. The calculation puts the total magnetization at 0.000 μB per atom. The value obtained for the energy above the most stable polymorph in this dataset is 609.1 meV/atom.